Entry 1:
## HfSbRh4 (GGA-PBE)

Data for an optimized crystal structure of HfSbRh4.

Lattice parameters (Å, degrees): 5.471 5.471 4.298 90.00 90.00 90.44
Fractional positions:
Hf  0.000  0.000  0.000
Sb  0.500  0.500  0.500
Rh  0.180  0.820  0.500
Rh  0.315  0.315  0.000
Rh  0.685  0.685  0.000
Rh  0.820  0.180  0.500

Crystal system ... orthorhombic
Total energy ... -6.883 eV/atom
Symmetry ... No. 65



Entry 2:
## CsPmIn (GGA-PBE)

Data for an optimized crystal structure of CsPmIn.

Lattice parameters (Å, degrees): 5.354 5.354 12.926 101.67 101.67 60.16
Fractional positions:
Cs  0.230  0.230  0.179
Cs  0.770  0.770  0.821
Pm  0.354  0.354  0.565
Pm  0.646  0.646  0.435
In  0.038  0.038  0.620
In  0.962  0.962  0.380

Crystal system ... monoclinic
Formation enthalpy at 0 K ... -0.049 eV/atom
Symmetry ... No. 12



Entry 3:
## LaZr2Nb (GGA-PBE)

Data for an optimized crystal structure of LaZr2Nb.

Lattice parameters (Å, degrees): 11.250 11.250 11.250 16.28 16.28 16.28
Fractional positions:
La  0.000  0.000  0.000
Zr  0.095  0.095  0.095
Zr  0.905  0.905  0.905
Nb  0.500  0.500  0.500

Crystal system ... trigonal
Offset from the most stable computed form ... 179.7 meV/atom
Formation enthalpy at 0 K ... 0.304 eV/atom
Symmetry ... No. 166



Entry 4:
## CaSm3S4 (GGA-PBE)

Data for an optimized crystal structure of CaSm3S4.

Lattice parameters (Å, degrees): 6.956 6.956 3.991 90.00 90.00 109.14
Fractional positions:
Ca  0.000  0.000  0.000
Sm  0.000  0.500  0.500
Sm  0.500  0.000  0.500
Sm  0.500  0.500  0.000
S  0.247  0.247  0.500
S  0.248  0.752  0.000
S  0.752  0.248  0.000
S  0.753  0.753  0.500

Crystal system ... orthorhombic
Total energy ... -6.124 eV/atom
Symmetry ... No. 65



no.,M_tot (μB/cell)
1,0.0
2,0.0
3,0.0
4,0.0